# 1
## MnInPb2 (PBE-GGA)

Data for MnInPb2 after structural relaxation.

Formation enthalpy at 0 K   0.91 eV/f.u.

Cell lengths 14.6970, 3.2450, 4.6627 Å; angles 90.00, 108.34, 90.00 degrees
Space group C2/m (No. 12)
Symmetry-distinct sites (fractional):
Mn 0.0000 0.0000 0.0000 x2
In 0.0000 0.5000 0.5000 x2
Pb 0.1804 0.5000 0.1806 x4

# 2
## MnInPb2 (PBE-GGA)

Data for MnInPb2 after structural relaxation.

Formation enthalpy at 0 K   1.29 eV/f.u.

Cell lengths 6.8890, 8.7227, 3.4710 Å; angles 90.00, 90.00, 90.00 degrees
Space group Cmmm (No. 65)
Symmetry-distinct sites (fractional):
Mn 0.0000 0.0000 0.0000 x2
In 0.0000 0.5000 0.0000 x2
Pb 0.2500 0.2500 0.5000 x4

# 3
## MnIn3Pb (PBE-GGA)

Data for MnIn3Pb after structural relaxation.

Formation enthalpy at 0 K   1.39 eV/f.u.
Polymorph energy (0 for the lowest one)   0.000 eV per atom

Cell lengths 5.1335, 5.1335, 5.1335 Å; angles 90.00, 90.00, 90.00 degrees
Space group Pm-3m (No. 221)
Symmetry-distinct sites (fractional):
Mn 0.0000 0.0000 0.0000 x1
In 0.0000 0.0000 0.5000 x3
Pb 0.5000 0.5000 0.5000 x1

# 4
## MnInPb2 (PBE-GGA)

Data for MnInPb2 after structural relaxation.

Formation enthalpy at 0 K   1.14 eV/f.u.

Cell lengths 3.5991, 4.7150, 6.3118 Å; angles 90.00, 105.92, 90.00 degrees
Space group Pm (No. 6)
Symmetry-distinct sites (fractional):
Mn 0.0000 0.0000 0.0000 x1
In 0.8576 0.5000 0.7193 x1
Pb 0.2558 0.0000 0.5173 x1
Pb 0.5768 0.5000 0.1631 x1

# 5
## MnInPb2 (PBE-GGA)

Data for MnInPb2 after structural relaxation.

Formation enthalpy at 0 K   1.27 eV/f.u.

Cell lengths 3.4782, 3.4782, 30.1162 Å; angles 90.00, 90.00, 120.00 degrees
Space group R-3m (No. 166, hexagonal axes)
Symmetry-distinct sites (fractional):
Mn 0.0000 0.0000 0.0000 x3
In 0.0000 0.0000 0.5000 x3
Pb 0.0000 0.0000 0.2603 x6

# 6
## MnIn3Pb (PBE-GGA)

Data for MnIn3Pb after structural relaxation.

Formation enthalpy at 0 K   4.81 eV/f.u.
Polymorph energy (0 for the lowest one)   0.683 eV per atom

Cell lengths 5.8398, 5.8398, 5.8398 Å; angles 90.00, 90.00, 90.00 degrees
Space group Pm-3m (No. 221)
Symmetry-distinct sites (fractional):
Mn 0.0000 0.0000 0.0000 x1
In 0.0000 0.5000 0.5000 x3
Pb 0.5000 0.5000 0.5000 x1

E values (in eV for the cell shown) by entry order: -36.8; -36.1; -19.7; -18.2; -54.2; -16.3.